No. 1
{
  "formula": "Y4InHg2",
  "functional": "PBE",
  "state": "optimized geometry",
  "formation_enthalpy_0k_ev_per_atom": -0.33,
  "rho_g_cm3": 7.27,
  "crystal_system": "trigonal",
  "space_group": "R-3m, No. 166",
  "lattice": [[2.608, 1.506, 8.451], [-2.608, 1.506, 8.451], [0.000, -3.012, 8.451]],
  "species": ["Y", "Y", "Y", "Y", "In", "Hg", "Hg"],
  "fractional_positions": [[0.118, 0.118, 0.118], [0.371, 0.371, 0.371], [0.629, 0.629, 0.629], [0.882, 0.882, 0.882], [0.500, 0.500, 0.500], [0.249, 0.249, 0.249], [0.751, 0.751, 0.751]]
}

---

No. 2
{
  "formula": "Y5In4Hg",
  "functional": "PBE",
  "state": "optimized geometry",
  "formation_enthalpy_0k_ev_per_atom": -0.50,
  "rho_g_cm3": 6.91,
  "crystal_system": "tetragonal",
  "space_group": "P4/mmm, No. 123",
  "lattice": [[3.749, 0.000, 0.000], [0.000, 3.749, 0.000], [0.000, 0.000, 18.897]],
  "species": ["Y", "Y", "Y", "Y", "Y", "In", "In", "In", "In", "Hg"],
  "fractional_positions": [[0.000, 0.000, 0.000], [0.000, 0.000, 0.201], [0.000, 0.000, 0.403], [0.000, 0.000, 0.597], [0.000, 0.000, 0.799], [0.500, 0.500, 0.100], [0.500, 0.500, 0.303], [0.500, 0.500, 0.697], [0.500, 0.500, 0.900], [0.500, 0.500, 0.500]]
}

---

No. 3
{
  "formula": "Y3In2Hg",
  "functional": "PBE",
  "state": "optimized geometry",
  "formation_enthalpy_0k_ev_per_atom": -0.50,
  "rho_g_cm3": 7.29,
  "crystal_system": "tetragonal",
  "space_group": "P4/mmm, No. 123",
  "lattice": [[3.724, 0.000, 0.000], [0.000, 3.724, 0.000], [0.000, 0.000, 11.448]],
  "species": ["Y", "Y", "Y", "In", "In", "Hg"],
  "fractional_positions": [[0.000, 0.000, 0.000], [0.000, 0.000, 0.339], [0.000, 0.000, 0.661], [0.500, 0.500, 0.171], [0.500, 0.500, 0.829], [0.500, 0.500, 0.500]]
}